Here is a relaxed KNiPb4 crystal from Alexandria via LeMat-Bulk. Energies are from PBE.

```
6
Lattice="-6.030 -2.247 0.923 -4.691 1.431 -4.268 -2.375 -4.633 -3.895" Properties=species:S:1:pos:R:3 pbc="T T T"
K -9.822 -4.087 -5.430
Ni 0.000 0.000 0.000
Pb -7.936 -3.170 -2.244
Pb -6.095 -4.371 -4.669
Pb -7.261 -1.319 -4.857
Pb -4.900 -2.039 -2.709
```

V = 32.4 A^3/atom
calculated formation energy = 2.51 eV per formula unit
Fermi-level density of states = 1.08 states/eV/atom
space-group type = F-43m